This record from Alexandria describes Ba2TlHAu after structural relaxation. The functional is PBE.

Cell: 5.9170 5.9170 4.0891 Å, 90.00 90.00 90.00°
Space group P4/mmm (No. 123)
Asymmetric unit:
Ba (0.0000, 0.5000, 0.0000) (multiplicity 2)
Tl (0.0000, 0.0000, 0.5000) (multiplicity 1)
H (0.5000, 0.5000, 0.0000) (multiplicity 1)
Au (0.5000, 0.5000, 0.5000) (multiplicity 1)

Summary:
The value obtained for the total magnetization is 0.00 μB/cell. As for the distance to the lowest polymorph of the same formula: 0.0000 eV per atom.

This record from Alexandria describes Ba2TlHAu after structural relaxation. The functional is PBE.

Cell: 5.6407 5.6407 4.5777 Å, 90.00 90.00 90.00°
Space group P4/mmm (No. 123)
Asymmetric unit:
Ba (0.0000, 0.5000, 0.0000) (multiplicity 2)
Tl (0.0000, 0.0000, 0.5000) (multiplicity 1)
H (0.0000, 0.0000, 0.0000) (multiplicity 1)
Au (0.5000, 0.5000, 0.5000) (multiplicity 1)

Summary:
The value obtained for the total magnetization is 0.00 μB/cell. As for the distance to the lowest polymorph of the same formula: 0.0629 eV per atom.

This record from Alexandria describes Ba2ZnH6Au after structural relaxation. The functional is PBE.

Cell: 9.9731 5.7359 6.0139 Å, 90.00 122.98 90.00°
Space group Cm (No. 8)
Asymmetric unit:
Ba (0.0000, 0.0000, 0.0000) (multiplicity 2)
Ba (0.0044, 0.5000, 0.5131) (multiplicity 2)
Zn (0.2428, 0.5000, 0.2286) (multiplicity 2)
H (0.2232, 0.2713, 0.4018) (multiplicity 4)
H (0.2315, 0.2683, 0.9633) (multiplicity 4)
H (0.4516, 0.5000, 0.4020) (multiplicity 2)
H (0.4977, 0.0000, 0.9643) (multiplicity 2)
Au (0.2778, 0.0000, 0.8343) (multiplicity 2)

Summary:
The value obtained for the total magnetization is 0.00 μB/cell.

This record from Alexandria describes BaZn2HAu after structural relaxation. The functional is PBE.

Cell: 4.8810 4.8810 6.4252 Å, 90.00 90.00 90.00°
Space group P4/mmm (No. 123)
Asymmetric unit:
Ba (0.0000, 0.0000, 0.0000) (multiplicity 1)
Zn (0.0000, 0.5000, 0.5000) (multiplicity 2)
H (0.5000, 0.5000, 0.0000) (multiplicity 1)
Au (0.0000, 0.0000, 0.5000) (multiplicity 1)

Summary:
The value obtained for the total magnetization is 0.00 μB/cell.

This record from Alexandria describes BaZnH2Au after structural relaxation. The functional is PBE.

Cell: 4.5872 4.5872 6.5358 Å, 90.00 90.00 90.00°
Space group P4/mmm (No. 123)
Asymmetric unit:
Ba (0.0000, 0.0000, 0.0000) (multiplicity 1)
Zn (0.5000, 0.5000, 0.5000) (multiplicity 1)
H (0.0000, 0.5000, 0.0000) (multiplicity 2)
Au (0.0000, 0.0000, 0.5000) (multiplicity 1)

Summary:
The value obtained for the total magnetization is 0.59 μB/cell.

This record from Alexandria describes Ba2ZnHAu after structural relaxation. The functional is PBE.

Cell: 5.5899 5.5899 4.2285 Å, 90.00 90.00 90.00°
Space group P4/mmm (No. 123)
Asymmetric unit:
Ba (0.0000, 0.5000, 0.0000) (multiplicity 2)
Zn (0.0000, 0.0000, 0.5000) (multiplicity 1)
H (0.0000, 0.0000, 0.0000) (multiplicity 1)
Au (0.5000, 0.5000, 0.5000) (multiplicity 1)

Summary:
The value obtained for the total magnetization is 0.00 μB/cell. As for the distance to the lowest polymorph of the same formula: 0.0000 eV per atom.

This record from Alexandria describes Ba2ZnHAu after structural relaxation. The functional is PBE.

Cell: 5.7805 5.7805 4.0440 Å, 90.00 90.00 90.00°
Space group P4/mmm (No. 123)
Asymmetric unit:
Ba (0.0000, 0.5000, 0.0000) (multiplicity 2)
Zn (0.0000, 0.0000, 0.5000) (multiplicity 1)
H (0.5000, 0.5000, 0.0000) (multiplicity 1)
Au (0.5000, 0.5000, 0.5000) (multiplicity 1)

Summary:
The value obtained for the total magnetization is 0.00 μB/cell. As for the distance to the lowest polymorph of the same formula: 0.0280 eV per atom.

This record from Alexandria describes Ba2HfAu2 after structural relaxation. The functional is PBE.

Cell: 7.4850 7.4850 5.4154 Å, 90.00 90.00 90.00°
Space group P4/mbm (No. 127)
Asymmetric unit:
Ba (0.1706, 0.3294, 0.0000) (multiplicity 4)
Hf (0.0000, 0.0000, 0.5000) (multiplicity 2)
Au (0.1432, 0.6432, 0.5000) (multiplicity 4)

Summary:
Its calculated formation energy is -1.10 eV/f.u. The value obtained for the total magnetization is 0.00 μB/cell.

One value per record, in order, for energy: -3.001, -2.938, -3.123, -2.208, -2.297, -2.720, -2.692, -4.290 eV/atom.
One value per record, in order, for calculated volume: 28.63, 29.13, 14.43, 30.61, 27.51, 26.43, 27.03, 30.34 Å³/atom.